Material: AlSbTe2F
Method: DFT, PBE
State: relaxed

- E above lowest polymorph: 102 meV per atom
- Formation energy from raw total energies: 0.12 eV/atom
- Space group: P4/mmm
- Total energy: -3.08 eV/atom

Cell lengths 5.235, 5.235, 5.288 Å; angles 90.00, 90.00, 90.00 degrees
Positions (direct):
Al: 0.000 0.000 0.000
F: 0.500 0.500 0.500
Te: 0.000 0.500 0.000
Te: 0.500 0.000 0.000
Sb: 0.000 0.000 0.500

Material: AlSbTe2F
Method: DFT, PBE
State: relaxed

- E above lowest polymorph: 0 meV per atom
- Formation energy from raw total energies: 0.02 eV/atom
- Space group: P4/mmm
- Total energy: -3.19 eV/atom

Cell lengths 5.376, 5.376, 4.452 Å; angles 90.00, 90.00, 90.00 degrees
Positions (direct):
Te: 0.000 0.500 0.000
Te: 0.500 0.000 0.000
F: 0.000 0.000 0.000
Sb: 0.000 0.000 0.500
Al: 0.500 0.500 0.500